# 1
Here is Pr2SbS after structural relaxation from OQMD. Energies are from PBE-GGA.

POSCAR file:
```
Pr2SbS
1.0
-0.4484 -2.0697 3.8121
2.8351 -3.0403 -1.3172
4.6454 3.3152 2.3464
Sb S Pr
1 1 2
direct
0.5000 0.5000 0.0000
0.0000 0.0000 0.5000
0.5000 0.5000 0.5000
0.0000 0.0000 0.0000
```

Summary:
Total moment in μB per formula unit: 0.01
E_tot in eV/cell: -23.9
Symmetry: P4/mmm, No. 123



# 2
Here is Lu4Hf2Ga3N3 after structural relaxation from OQMD. Energies are from PBE-GGA.

POSCAR file:
```
Lu4Hf2Ga3N3
1.0
5.0191 -2.8981 0.0000
5.0191 2.8981 0.0000
-3.3755 0.0000 14.0824
Hf N Ga Lu
4 6 6 8
direct
0.6448 0.4729 0.4194
0.5271 0.3552 0.0806
0.4729 0.6448 0.9194
0.3552 0.5271 0.5806
0.3371 0.8256 0.5000
0.8256 0.3371 0.0000
0.5000 0.0000 0.0000
0.0000 0.5000 0.5000
0.1744 0.6629 0.0000
0.6629 0.1744 0.5000
0.6941 0.5830 0.7490
0.3059 0.4170 0.2510
0.5830 0.6941 0.2490
0.1378 0.8622 0.7500
0.4170 0.3059 0.7510
0.8622 0.1378 0.2500
0.1941 0.0365 0.0962
0.8708 0.6977 0.0962
0.3023 0.1292 0.4038
0.8059 0.9635 0.9038
0.9635 0.8059 0.4038
0.1292 0.3023 0.9038
0.0365 0.1941 0.5962
0.6977 0.8708 0.5962
```

Summary:
Total moment in μB per formula unit: 0.00
E_tot in eV/cell: -171.9
Symmetry: C2/c, No. 15



# 3
Here is ZrScCu after structural relaxation from OQMD. Energies are from PBE-GGA.

POSCAR file:
```
ZrScCu
1.0
3.2073 0.0000 0.0000
0.0000 3.2073 0.0000
0.0000 0.0000 11.2905
Sc Cu Zr
2 2 2
direct
0.0000 0.5000 0.6022
0.5000 0.0000 0.3978
0.5000 0.0000 0.7481
0.0000 0.5000 0.2519
0.0000 0.5000 0.9048
0.5000 0.0000 0.0952
```

Summary:
Total moment in μB per formula unit: 0.63
Formation enthalpy at 0 K in eV/atom: -0.129
Offset from the most stable computed form in meV per atom: 0.0
E_tot in eV/cell: -38.0
Symmetry: P4/nmm, No. 129